No. 1
# CoC3S | Alexandria via LeMat-Bulk | meta-GGA SCAN | PBEsol geometry
data_CoC3S
_chemical_formula_sum 'Co1 C3 S1'
_cell_length_a 3.704
_cell_length_b 3.704
_cell_length_c 3.704
_cell_angle_alpha 90.00
_cell_angle_beta 90.00
_cell_angle_gamma 90.00
_space_group_name_H-M_alt 'P 1'
_space_group_IT_number 1
loop_
_space_group_symop_operation_xyz
'x,y,z'
loop_
_atom_site_label
_atom_site_type_symbol
_atom_site_fract_x
_atom_site_fract_y
_atom_site_fract_z
_atom_site_occupancy
Co1 Co 0.000 0.000 0.000 1
S1 S 0.500 0.500 0.500 1
C1 C 0.000 0.500 0.000 1
C2 C 0.500 0.000 0.000 1
C3 C 0.000 0.000 0.500 1
# Spin magnetization = 0.0 Bohr magnetons per cell
# Total energy = -9.103 eV/atom
# Uncorrected formation energy = 2.34 eV per atom
# Space group = Pm-3m (221)

***

No. 2
# Hf3Cu8 | Alexandria via LeMat-Bulk | meta-GGA SCAN | PBEsol geometry
data_Hf3Cu8
_chemical_formula_sum 'Hf12 Cu32'
_cell_length_a 7.713
_cell_length_b 7.997
_cell_length_c 9.795
_cell_angle_alpha 90.00
_cell_angle_beta 90.00
_cell_angle_gamma 90.00
_space_group_name_H-M_alt 'P 1'
_space_group_IT_number 1
loop_
_space_group_symop_operation_xyz
'x,y,z'
loop_
_atom_site_label
_atom_site_type_symbol
_atom_site_fract_x
_atom_site_fract_y
_atom_site_fract_z
_atom_site_occupancy
Cu1 Cu 0.216 0.750 0.773 1
Cu2 Cu 0.129 0.750 0.266 1
Cu3 Cu 0.698 0.000 0.093 1
Cu4 Cu 0.198 0.500 0.407 1
Cu5 Cu 0.122 0.424 0.660 1
Cu6 Cu 0.784 0.250 0.227 1
Cu7 Cu 0.823 0.250 0.983 1
Cu8 Cu 0.629 0.750 0.234 1
Cu9 Cu 0.616 0.250 0.598 1
Cu10 Cu 0.878 0.924 0.340 1
Cu11 Cu 0.622 0.076 0.840 1
Cu12 Cu 0.302 0.500 0.907 1
Cu13 Cu 0.284 0.250 0.273 1
Cu14 Cu 0.122 0.076 0.660 1
Cu15 Cu 0.384 0.750 0.402 1
Cu16 Cu 0.302 0.000 0.907 1
Cu17 Cu 0.378 0.576 0.160 1
Cu18 Cu 0.116 0.250 0.902 1
Cu19 Cu 0.716 0.750 0.727 1
Cu20 Cu 0.698 0.500 0.093 1
Cu21 Cu 0.802 0.500 0.593 1
Cu22 Cu 0.378 0.924 0.160 1
Cu23 Cu 0.677 0.750 0.483 1
Cu24 Cu 0.878 0.576 0.340 1
Cu25 Cu 0.177 0.750 0.017 1
Cu26 Cu 0.622 0.424 0.840 1
Cu27 Cu 0.323 0.250 0.517 1
Cu28 Cu 0.802 0.000 0.593 1
Cu29 Cu 0.884 0.750 0.098 1
Cu30 Cu 0.871 0.250 0.734 1
Cu31 Cu 0.198 0.000 0.407 1
Cu32 Cu 0.371 0.250 0.766 1
Hf1 Hf 0.562 0.446 0.360 1
Hf2 Hf 0.961 0.250 0.453 1
Hf3 Hf 0.938 0.946 0.860 1
Hf4 Hf 0.039 0.750 0.547 1
Hf5 Hf 0.461 0.250 0.047 1
Hf6 Hf 0.438 0.946 0.640 1
Hf7 Hf 0.562 0.054 0.360 1
Hf8 Hf 0.062 0.446 0.140 1
Hf9 Hf 0.062 0.054 0.140 1
Hf10 Hf 0.938 0.554 0.860 1
Hf11 Hf 0.438 0.554 0.640 1
Hf12 Hf 0.539 0.750 0.953 1
# Spin magnetization = 0.0 Bohr magnetons per cell
# Total energy = -28.360 eV/atom
# Formation enthalpy at 0 K = -0.21 eV per atom
# Space group = Pnma (62)

***

No. 3
# ReNi2W | Alexandria via LeMat-Bulk | meta-GGA SCAN | PBEsol geometry
data_ReNi2W
_chemical_formula_sum 'Re1 Ni2 W1'
_cell_length_a 2.595
_cell_length_b 4.505
_cell_length_c 4.626
_cell_angle_alpha 97.86
_cell_angle_beta 90.00
_cell_angle_gamma 106.74
_space_group_name_H-M_alt 'P 1'
_space_group_IT_number 1
loop_
_space_group_symop_operation_xyz
'x,y,z'
loop_
_atom_site_label
_atom_site_type_symbol
_atom_site_fract_x
_atom_site_fract_y
_atom_site_fract_z
_atom_site_occupancy
W1 W 0.254 0.509 0.767 1
Ni1 Ni 0.751 0.501 0.247 1
Ni2 Ni 0.001 0.003 0.007 1
Re1 Re 0.494 0.987 0.479 1
# Spin magnetization = 0.0 Bohr magnetons per cell
# Total energy = -43.227 eV/atom
# Formation enthalpy at 0 K = 0.06 eV per atom
# Space group = Cm (8)

***

No. 4
# Ta4AuBr | Alexandria via LeMat-Bulk | meta-GGA SCAN | PBEsol geometry
data_Ta4AuBr
_chemical_formula_sum 'Ta4 Au1 Br1'
_cell_length_a 5.446
_cell_length_b 5.446
_cell_length_c 5.446
_cell_angle_alpha 60.00
_cell_angle_beta 60.00
_cell_angle_gamma 60.00
_space_group_name_H-M_alt 'P 1'
_space_group_IT_number 1
loop_
_space_group_symop_operation_xyz
'x,y,z'
loop_
_atom_site_label
_atom_site_type_symbol
_atom_site_fract_x
_atom_site_fract_y
_atom_site_fract_z
_atom_site_occupancy
Ta1 Ta 0.872 0.376 0.376 1
Ta2 Ta 0.376 0.376 0.872 1
Ta3 Ta 0.376 0.872 0.376 1
Ta4 Ta 0.376 0.376 0.376 1
Au1 Au 0.750 0.750 0.750 1
Br1 Br 0.000 0.000 0.000 1
# Spin magnetization = 0.0 Bohr magnetons per cell
# Total energy = -58.418 eV/atom
# Uncorrected formation energy = 0.74 eV per atom
# Space group = F-43m (216)

***

No. 5
# HgPt2W | Alexandria via LeMat-Bulk | meta-GGA SCAN | PBEsol geometry
data_HgPt2W
_chemical_formula_sum 'Hg1 Pt2 W1'
_cell_length_a 2.840
_cell_length_b 2.840
_cell_length_c 9.430
_cell_angle_alpha 81.34
_cell_angle_beta 81.34
_cell_angle_gamma 60.00
_space_group_name_H-M_alt 'P 1'
_space_group_IT_number 1
loop_
_space_group_symop_operation_xyz
'x,y,z'
loop_
_atom_site_label
_atom_site_type_symbol
_atom_site_fract_x
_atom_site_fract_y
_atom_site_fract_z
_atom_site_occupancy
Hg1 Hg 0.250 0.250 0.249 1
Pt1 Pt 0.752 0.752 0.743 1
Pt2 Pt 0.003 0.003 0.991 1
W1 W 0.494 0.494 0.517 1
# Spin magnetization = 0.0 Bohr magnetons per cell
# Total energy = -69.361 eV/atom
# Formation enthalpy at 0 K = 0.20 eV per atom
# Space group = R3m (160)

***

No. 6
# ReH2Cl | Alexandria via LeMat-Bulk | meta-GGA SCAN | PBEsol geometry
data_ReH2Cl
_chemical_formula_sum 'Re2 H4 Cl2'
_cell_length_a 4.803
_cell_length_b 4.803
_cell_length_c 4.803
_cell_angle_alpha 95.25
_cell_angle_beta 117.01
_cell_angle_gamma 117.01
_space_group_name_H-M_alt 'P 1'
_space_group_IT_number 1
loop_
_space_group_symop_operation_xyz
'x,y,z'
loop_
_atom_site_label
_atom_site_type_symbol
_atom_site_fract_x
_atom_site_fract_y
_atom_site_fract_z
_atom_site_occupancy
H1 H 0.921 0.046 0.625 1
H2 H 0.421 0.375 0.296 1
H3 H 0.579 0.875 0.954 1
H4 H 0.079 0.704 0.125 1
Cl1 Cl 0.500 0.250 0.750 1
Cl2 Cl 0.000 0.500 0.500 1
Re1 Re 0.000 0.000 0.000 1
Re2 Re 0.500 0.750 0.250 1
# Spin magnetization = 0.0 Bohr magnetons per cell
# Total energy = -20.757 eV/atom
# Space group = I-42d (122)

***

No. 7
# AlReNi | Alexandria via LeMat-Bulk | meta-GGA SCAN | PBEsol geometry
data_AlReNi
_chemical_formula_sum 'Al1 Re1 Ni1'
_cell_length_a 4.071
_cell_length_b 4.071
_cell_length_c 4.071
_cell_angle_alpha 60.00
_cell_angle_beta 60.00
_cell_angle_gamma 60.00
_space_group_name_H-M_alt 'P 1'
_space_group_IT_number 1
loop_
_space_group_symop_operation_xyz
'x,y,z'
loop_
_atom_site_label
_atom_site_type_symbol
_atom_site_fract_x
_atom_site_fract_y
_atom_site_fract_z
_atom_site_occupancy
Re1 Re 0.250 0.250 0.250 1
Al1 Al 0.000 0.000 0.000 1
Ni1 Ni 0.500 0.500 0.500 1
# Spin magnetization = 2.0 Bohr magnetons per cell
# Total energy = -31.069 eV/atom
# Formation enthalpy at 0 K = 0.61 eV per atom
# Space group = F-43m (216)

***

No. 8
# Li2TcAg | Alexandria via LeMat-Bulk | meta-GGA SCAN | PBEsol geometry
data_Li2TcAg
_chemical_formula_sum 'Li2 Tc1 Ag1'
_cell_length_a 4.375
_cell_length_b 4.375
_cell_length_c 4.375
_cell_angle_alpha 60.00
_cell_angle_beta 60.00
_cell_angle_gamma 60.00
_space_group_name_H-M_alt 'P 1'
_space_group_IT_number 1
loop_
_space_group_symop_operation_xyz
'x,y,z'
loop_
_atom_site_label
_atom_site_type_symbol
_atom_site_fract_x
_atom_site_fract_y
_atom_site_fract_z
_atom_site_occupancy
Li1 Li 0.000 0.000 0.000 1
Li2 Li 0.750 0.750 0.750 1
Tc1 Tc 0.250 0.250 0.250 1
Ag1 Ag 0.500 0.500 0.500 1
# Spin magnetization = 2.6 Bohr magnetons per cell
# Total energy = -17.355 eV/atom
# Formation enthalpy at 0 K = 0.45 eV per atom
# Space group = F-43m (216)

***

No. 9
# In8Se | Alexandria via LeMat-Bulk | meta-GGA SCAN | PBEsol geometry
data_In8Se
_chemical_formula_sum 'In8 Se1'
_cell_length_a 3.635
_cell_length_b 8.097
_cell_length_c 8.097
_cell_angle_alpha 87.11
_cell_angle_beta 77.03
_cell_angle_gamma 77.03
_space_group_name_H-M_alt 'P 1'
_space_group_IT_number 1
loop_
_space_group_symop_operation_xyz
'x,y,z'
loop_
_atom_site_label
_atom_site_type_symbol
_atom_site_fract_x
_atom_site_fract_y
_atom_site_fract_z
_atom_site_occupancy
In1 In 0.343 0.315 0.000 1
In2 In 0.333 0.667 0.667 1
In3 In 0.657 0.685 0.000 1
In4 In 0.657 0.000 0.685 1
In5 In 0.000 0.333 0.667 1
In6 In 0.343 0.000 0.315 1
In7 In 0.000 0.667 0.333 1
In8 In 0.667 0.333 0.333 1
Se1 Se 0.000 0.000 0.000 1
# Spin magnetization = 0.0 Bohr magnetons per cell
# Total energy = -31.896 eV/atom
# Uncorrected formation energy = 0.01 eV per atom
# Space group = I4/mmm (139)

***

No. 10
# Rb3NiF6 | Alexandria via LeMat-Bulk | meta-GGA SCAN | PBEsol geometry
data_Rb3NiF6
_chemical_formula_sum 'Rb3 Ni1 F6'
_cell_length_a 6.272
_cell_length_b 6.272
_cell_length_c 6.272
_cell_angle_alpha 60.00
_cell_angle_beta 60.00
_cell_angle_gamma 60.00
_space_group_name_H-M_alt 'P 1'
_space_group_IT_number 1
loop_
_space_group_symop_operation_xyz
'x,y,z'
loop_
_atom_site_label
_atom_site_type_symbol
_atom_site_fract_x
_atom_site_fract_y
_atom_site_fract_z
_atom_site_occupancy
F1 F 0.211 0.211 0.789 1
F2 F 0.789 0.789 0.211 1
F3 F 0.789 0.211 0.211 1
F4 F 0.211 0.789 0.211 1
F5 F 0.211 0.789 0.789 1
F6 F 0.789 0.211 0.789 1
Rb1 Rb 0.250 0.250 0.250 1
Rb2 Rb 0.500 0.500 0.500 1
Rb3 Rb 0.750 0.750 0.750 1
Ni1 Ni 0.000 0.000 0.000 1
# Spin magnetization = 1.0 Bohr magnetons per cell
# Total energy = -12.578 eV/atom
# Uncorrected formation energy = -2.61 eV per atom
# Space group = Fm-3m (225)

***

No. 11
# LiZn2Cd | Alexandria via LeMat-Bulk | meta-GGA SCAN | PBEsol geometry
data_LiZn2Cd
_chemical_formula_sum 'Li1 Zn2 Cd1'
_cell_length_a 2.855
_cell_length_b 4.773
_cell_length_c 4.945
_cell_angle_alpha 98.94
_cell_angle_beta 90.00
_cell_angle_gamma 107.40
_space_group_name_H-M_alt 'P 1'
_space_group_IT_number 1
loop_
_space_group_symop_operation_xyz
'x,y,z'
loop_
_atom_site_label
_atom_site_type_symbol
_atom_site_fract_x
_atom_site_fract_y
_atom_site_fract_z
_atom_site_occupancy
Li1 Li 0.746 0.493 0.241 1
Zn1 Zn 0.993 0.987 0.993 1
Zn2 Zn 0.255 0.510 0.773 1
Cd1 Cd 0.505 0.011 0.493 1
# Spin magnetization = 0.0 Bohr magnetons per cell
# Total energy = -15.040 eV/atom
# Formation enthalpy at 0 K = -0.08 eV per atom
# Space group = Cm (8)

***

No. 12
# PRuCS2 | Alexandria via LeMat-Bulk | meta-GGA SCAN | PBEsol geometry
data_PRuCS2
_chemical_formula_sum 'P1 Ru1 C1 S2'
_cell_length_a 3.850
_cell_length_b 3.955
_cell_length_c 3.955
_cell_angle_alpha 90.00
_cell_angle_beta 90.00
_cell_angle_gamma 90.00
_space_group_name_H-M_alt 'P 1'
_space_group_IT_number 1
loop_
_space_group_symop_operation_xyz
'x,y,z'
loop_
_atom_site_label
_atom_site_type_symbol
_atom_site_fract_x
_atom_site_fract_y
_atom_site_fract_z
_atom_site_occupancy
S1 S 0.000 0.500 0.000 1
S2 S 0.000 0.000 0.500 1
C1 C 0.000 0.000 0.000 1
P1 P 0.500 0.000 0.000 1
Ru1 Ru 0.500 0.500 0.500 1
# Spin magnetization = 0.0 Bohr magnetons per cell
# Total energy = -13.585 eV/atom
# Uncorrected formation energy = 1.33 eV per atom
# Space group = P4/mmm (123)

***

Among the records above, which one has the highest total energy? CoC3S